1.
A plane-wave DFT calculation with PBE-GGA was carried out for Sm2Er3In7 after structural relaxation.

The value obtained for the energy is -3.7205 eV/atom.

abc: 5.303 5.157 13.084
angles: 101.37 90.00 90.00
Atoms (fractional coordinates):
1 Er 0.500 0.351 0.702
2 In 0.000 0.571 0.142
3 Sm 0.000 0.853 0.705
4 In 0.000 0.000 0.000
5 Er 0.500 0.649 0.298
6 Er 0.500 0.500 0.000
7 In 0.000 0.278 0.556
8 Sm 0.000 0.147 0.295
9 In 0.500 0.075 0.151
10 In 0.500 0.925 0.849
11 In 0.000 0.722 0.444
12 In 0.000 0.429 0.858

---

2.
A plane-wave DFT calculation with PBE-GGA was carried out for Pm2Pr7Sm2 after structural relaxation.

The calculation puts the energy above the most stable polymorph in this dataset at 212 meV/atom. The value obtained for the energy is -4.4511 eV/atom.

abc: 9.698 7.044 7.044
angles: 122.24 90.00 90.00
Atoms (fractional coordinates):
1 Pr 0.682 0.000 0.500
2 Pr 0.178 0.500 0.500
3 Pr 0.000 0.000 0.000
4 Sm 0.500 0.750 0.750
5 Pr 0.318 0.000 0.500
6 Pr 0.318 0.500 0.000
7 Pm 0.000 0.734 0.266
8 Pm 0.000 0.266 0.734
9 Sm 0.500 0.250 0.250
10 Pr 0.822 0.500 0.500
11 Pr 0.682 0.500 0.000

---

3.
A plane-wave DFT calculation with PBE-GGA was carried out for Dy6Pt2PbSe3 after structural relaxation.

The value obtained for the energy relative to the elements, uncorrected is -1.34 eV per atom. The value obtained for the energy is -5.8325 eV/atom.

abc: 4.011 8.635 9.628
angles: 110.03 102.02 90.00
Atoms (fractional coordinates):
1 Dy 0.676 0.559 0.352
2 Dy 0.002 0.730 0.004
3 Dy 0.675 0.089 0.350
4 Se 0.500 0.500 0.000
5 Pt 0.159 0.313 0.319
6 Pt 0.841 0.687 0.681
7 Dy 0.325 0.911 0.650
8 Pb 0.500 0.000 0.000
9 Dy 0.998 0.270 0.996
10 Se 0.835 0.177 0.671
11 Se 0.165 0.823 0.329
12 Dy 0.324 0.441 0.648

---

4.
A plane-wave DFT calculation with PBE-GGA was carried out for ErGa4Mo after structural relaxation.

The value obtained for the energy is -4.7459 eV/atom.

abc: 5.236 5.236 5.236
angles: 60.00 60.00 60.00
Atoms (fractional coordinates):
1 Ga 0.625 0.625 0.625
2 Er 0.250 0.250 0.250
3 Mo 0.000 0.000 0.000
4 Ga 0.625 0.125 0.625
5 Ga 0.625 0.625 0.125
6 Ga 0.125 0.625 0.625

---

5.
A plane-wave DFT calculation with PBE-GGA was carried out for DyMgCu10 after structural relaxation.

The value obtained for the energy is -4.0387 eV/atom.

abc: 4.082 4.968 8.596
angles: 90.00 90.00 90.00
Atoms (fractional coordinates):
1 Cu 0.500 0.500 0.000
2 Cu 0.000 0.500 0.822
3 Cu 0.500 0.751 0.750
4 Cu 0.000 0.000 0.658
5 Cu 0.000 0.000 0.342
6 Dy 0.000 0.000 0.000
7 Cu 0.500 0.249 0.250
8 Cu 0.000 0.500 0.178
9 Cu 0.500 0.249 0.750
10 Mg 0.000 0.500 0.500
11 Cu 0.500 0.000 0.500
12 Cu 0.500 0.751 0.250

---

6.
A plane-wave DFT calculation with PBE-GGA was carried out for LaAs2 after structural relaxation.

The value obtained for the energy is -5.6467 eV/atom.

abc: 4.206 4.206 4.565
angles: 90.00 90.00 90.00
Atoms (fractional coordinates):
1 As 0.500 0.000 0.500
2 As 0.000 0.500 0.500
3 La 0.000 0.000 0.000